Compound: MgGa2
Source: Alexandria
Functional: PBE-GGA
Structure: relaxed

Lattice parameters (Å, degrees): 5.4943 5.4943 5.0920 90.00 90.00 90.00
Last column: nearest neighbours and their distance in Å.
Atoms (fractional coordinates):
Mg 0.5000 0.5000 0.5000  6 Ga 2.62-2.84
Ga 0.3368 0.3368 0.0000  1 Ga 2.54, 1 Mg 2.62
Mg 0.0000 0.0000 0.0000  6 Ga 2.62-2.84
Ga 0.6632 0.6632 0.0000  1 Ga 2.54, 1 Mg 2.62
Ga 0.1632 0.8368 0.5000  1 Ga 2.54, 1 Mg 2.62
Ga 0.8368 0.1632 0.5000  1 Ga 2.54, 1 Mg 2.62

Calculated values
Energy: -2.25 eV per atom
DOS(E_F): 3.43 states/eV/cell